A relaxed structure of V3H6O10. Source: Alexandria, functional PBE with a Hubbard U.

Computed properties:
ΔE to the lowest computed polymorph = 0.226 eV/f.u.

Cell lengths 8.9973, 8.9973, 5.8830 Å; angles 90.00, 90.00, 90.00 degrees
Space group P4bm (No. 100)
Symmetry-distinct sites (fractional):
V 0.0000 0.0000 0.0000 (multiplicity 2)
V 0.1393 0.3607 0.0251 (multiplicity 4)
H 0.0537 0.6776 0.4518 (multiplicity 8)
H 0.2319 0.2681 0.3962 (multiplicity 4)
O 0.0000 0.0000 0.2763 (multiplicity 2)
O 0.0000 0.5000 0.9767 (multiplicity 2)
O 0.0872 0.1949 0.9125 (multiplicity 8)
O 0.1555 0.3445 0.3267 (multiplicity 4)
O 0.1591 0.6591 0.4857 (multiplicity 4)